Record 1
Computed, not measured: InSiIr after structural relaxation at the PBE-GGA level of DFT.

M_tot (μB per formula unit): 0.000
VASP energy (eV per cell): -17.390
Mass density (g cm⁻³): 10.06
Space group: P-6m2
Formation energy from raw total energies (eV per atom): -0.1224
V (A^3/atom): 18.4

Cell lengths 4.044, 4.044, 3.904 Å; angles 90.00, 90.00, 120.00 degrees
Sites, in units of the cell vectors:
In 0.000 0.000 0.000
Ir 0.333 0.667 0.500
Si 0.667 0.333 0.500


Record 2
Computed, not measured: InSiIr2 after structural relaxation at the PBE-GGA level of DFT.

M_tot (μB per formula unit): 0.000
VASP energy (eV per cell): -25.562
Mass density (g cm⁻³): 13.29
Space group: P4mm
Formation energy from raw total energies (eV per atom): 0.0804
V (A^3/atom): 16.5

Cell lengths 2.902, 2.902, 7.825 Å; angles 90.00, 90.00, 90.00 degrees
Sites, in units of the cell vectors:
In 0.500 0.500 0.767
Ir 0.000 0.000 0.017
Ir 0.500 0.500 0.267
Si 0.000 0.000 0.449


Record 3
Computed, not measured: In2SiIr after structural relaxation at the PBE-GGA level of DFT.

M_tot (μB per formula unit): 0.000
VASP energy (eV per cell): -18.215
Mass density (g cm⁻³): 10.02
Space group: F-43m
Formation energy from raw total energies (eV per atom): 0.3864
V (A^3/atom): 18.6

Cell lengths 4.725, 4.725, 4.725 Å; angles 60.00, 60.00, 60.00 degrees
Sites, in units of the cell vectors:
In 0.000 0.000 0.000
In 0.250 0.250 0.250
Ir 0.500 0.500 0.500
Si 0.750 0.750 0.750


Record 4
Computed, not measured: InSi2Ir after structural relaxation at the PBE-GGA level of DFT.

M_tot (μB per formula unit): 0.000
VASP energy (eV per cell): -22.082
Mass density (g cm⁻³): 8.86
Space group: R3m
Formation energy from raw total energies (eV per atom): 0.0908
V (A^3/atom): 17.0

Cell lengths 8.084, 8.084, 8.084 Å; angles 22.54, 22.54, 22.54 degrees
Sites, in units of the cell vectors:
In 0.498 0.498 0.498
Ir 0.737 0.737 0.737
Si 0.004 0.004 0.004
Si 0.260 0.260 0.260